[1]
Computed, not measured: crystalline Cs2RbIn2 at its relaxed geometry at the PBE level of DFT.

POSCAR file:
```
Cs2RbIn2
1.0
-3.190 -0.944 -10.992
-5.162 -9.985 2.355
-3.610 2.072 0.870
Cs Rb In
4 2 4
direct
0.308 0.808 0.000
0.808 0.692 0.000
0.692 0.192 0.000
0.192 0.308 0.000
0.000 0.000 0.000
0.500 0.500 0.000
0.091 0.591 0.500
0.591 0.909 0.500
0.909 0.409 0.500
0.409 0.091 0.500
```

Results
crystal system	tetragonal

---

[2]
Computed, not measured: crystalline CsRb2In2 at its relaxed geometry at the PBE level of DFT.

POSCAR file:
```
CsRb2In2
1.0
10.996 0.000 0.000
0.000 10.996 0.000
0.000 0.000 4.260
Cs Rb In
2 4 4
direct
0.000 0.000 0.000
0.500 0.500 0.000
0.314 0.814 0.000
0.814 0.686 0.000
0.686 0.186 0.000
0.186 0.314 0.000
0.095 0.595 0.500
0.595 0.905 0.500
0.905 0.405 0.500
0.405 0.095 0.500
```

Results
crystal system	tetragonal

---

[3]
Computed, not measured: crystalline Cs2RbIn2 at its relaxed geometry at the PBE level of DFT.

POSCAR file:
```
Cs2RbIn2
1.0
4.506 0.000 0.000
0.000 4.506 0.000
2.253 2.253 15.229
Cs Rb In
2 1 2
direct
0.361 0.361 0.278
0.639 0.639 0.722
0.000 0.000 0.000
0.750 0.250 0.500
0.250 0.750 0.500
```

Results
crystal system	tetragonal

---

[4]
Computed, not measured: crystalline CsRb2In2 at its relaxed geometry at the PBE level of DFT.

POSCAR file:
```
CsRb2In2
1.0
-2.749 -2.882 -3.373
5.460 0.612 -4.973
3.442 -4.900 5.420
Cs Rb In
1 2 2
direct
0.000 0.000 0.000
0.351 0.442 0.701
0.649 0.558 0.299
0.736 0.078 0.471
0.264 0.922 0.529
```

Results
crystal system	monoclinic

---

| no. | E (eV/cell) | calculated density (g/cm³) |
| --- | --- | --- |
| 1 | -15.10 | 3.4 |
| 2 | -15.56 | 3.4 |
| 3 | -7.95 | 3.1 |
| 4 | -8.44 | 3.1 |